No. 1
# OsPb2

Crystalline OsPb2 at its relaxed geometry (GGA-PBE, Alexandria).

Geometry as CIF:
```
data_OsPb2
_chemical_formula_sum 'Os4 Pb8'
_space_group_name_H-M_alt 'P n m a'
_space_group_IT_number 62
_cell_length_a 8.257
_cell_length_b 3.394
_cell_length_c 9.725
_cell_angle_alpha 90.00
_cell_angle_beta 90.00
_cell_angle_gamma 90.00
loop_
_space_group_symop_operation_xyz
'x,y,z'
'-x,-y,-z'
'-x+1/2,-y,z+1/2'
'x+1/2,y,-z+1/2'
'x+1/2,-y+1/2,-z+1/2'
'-x+1/2,y+1/2,z+1/2'
'-x,y+1/2,-z'
'x,-y+1/2,z'
loop_
_atom_site_label
_atom_site_type_symbol
_atom_site_fract_x
_atom_site_fract_y
_atom_site_fract_z
_atom_site_occupancy
Os1 Os 0.185 0.250 0.177 1
Pb1 Pb 0.018 0.250 0.658 1
Pb2 Pb 0.159 0.750 0.942 1
```

As for the formation energy: 0.68 eV per atom. As for the magnetization: 0.00 μB/f.u.

---

No. 2
# TlCrPt4

Crystalline TlCrPt4 at its relaxed geometry (GGA-PBE, Alexandria).

Geometry as CIF:
```
data_TlCrPt4
_chemical_formula_sum 'Tl4 Cr4 Pt16'
_space_group_name_H-M_alt 'F -4 3 m'
_space_group_IT_number 216
_space_group_name_Hall 'F -4 2 3'
_cell_length_a 7.565
_cell_length_b 7.565
_cell_length_c 7.565
_cell_angle_alpha 90.00
_cell_angle_beta 90.00
_cell_angle_gamma 90.00
loop_
_atom_site_label
_atom_site_type_symbol
_atom_site_fract_x
_atom_site_fract_y
_atom_site_fract_z
_atom_site_occupancy
Tl1 Tl 0.000 0.000 0.000 1
Cr1 Cr 0.250 0.250 0.750 1
Pt1 Pt 0.125 0.125 0.375 1
```

As for the formation energy: 0.05 eV per atom. As for the magnetization: 3.99 μB/f.u.

---

No. 3
# KLa2Al

Crystalline KLa2Al at its relaxed geometry (GGA-PBE, Alexandria).

Geometry as CIF:
```
data_KLa2Al
_chemical_formula_sum 'K2 La4 Al2'
_space_group_name_H-M_alt 'C 1 2/m 1'
_space_group_IT_number 12
_cell_length_a 9.543
_cell_length_b 3.711
_cell_length_c 9.366
_cell_angle_alpha 90.00
_cell_angle_beta 95.66
_cell_angle_gamma 90.00
loop_
_space_group_symop_operation_xyz
'x,y,z'
'-x,-y,-z'
'-x,y,-z'
'x,-y,z'
'x+1/2,y+1/2,z'
'-x+1/2,-y+1/2,-z'
'-x+1/2,y+1/2,-z'
'x+1/2,-y+1/2,z'
loop_
_atom_site_label
_atom_site_type_symbol
_atom_site_fract_x
_atom_site_fract_y
_atom_site_fract_z
_atom_site_occupancy
K1 K 0.000 0.000 0.000 1
La1 La 0.223 0.000 0.663 1
Al1 Al 0.000 0.500 0.500 1
```

As for the formation energy: 0.14 eV per atom. As for the magnetization: 0.00 μB/f.u.